This record from Alexandria via LeMat-Bulk describes an optimized crystal structure of Ac2La3Au8. The functional is GGA-PBE.

Cell and atoms, written as POSCAR:
```
Ac2La3Au8
1.0
6.745 -5.416 0.000
6.745 5.416 0.000
-0.928 0.000 5.007
Ac La Au
2 3 8
direct
0.205 0.205 0.345 Ac
0.795 0.795 0.655 Ac
0.249 0.751 0.000 La
0.500 0.500 0.500 La
0.751 0.249 0.000 La
0.057 0.057 0.769 Au
0.121 0.589 0.425 Au
0.367 0.367 0.936 Au
0.411 0.879 0.575 Au
0.589 0.121 0.425 Au
0.633 0.633 0.064 Au
0.879 0.411 0.575 Au
0.943 0.943 0.231 Au
```

Computed properties:
For the formation energy from the elements, the calculation gives -0.67 eV/atom. For the total magnetization, the calculation gives 0.00 Bohr magnetons per cell. The value obtained for the density of states at the Fermi level is 9.830 states/eV/f.u. Its space-group type is No. 12.